The following is a DFT calculation (PBE-GGA) of a geometry-optimized SrTe2Os structure.

Properties
For the mass density, the calculation gives 9.1 g/cm3. As for the total energy: -18.260 eV for the cell shown. As for the total magnetization: 0.0 Bohr magnetons per cell. The value obtained for the formation energy from raw total energies is 0.234 eV/atom.

Geometry as CIF:
```
data_SrTe2Os
_chemical_formula_sum 'Sr1 Te2 Os1'
_cell_length_a 3.525
_cell_length_b 3.525
_cell_length_c 7.867
_cell_angle_alpha 90.00
_cell_angle_beta 90.00
_cell_angle_gamma 90.00
_symmetry_space_group_name_H-M 'P 4/m m m'
_symmetry_Int_Tables_number 123
_symmetry_space_group_name_Hall '-P 4 2'
loop_
_atom_site_label
_atom_site_type_symbol
_atom_site_fract_x
_atom_site_fract_y
_atom_site_fract_z
Sr1 Sr 0.000 0.000 0.000
Te1 Te 0.500 0.500 0.300
Os1 Os 0.000 0.000 0.500
```



The following is a DFT calculation (PBE-GGA) of a geometry-optimized Sr2TeOs structure.

Properties
For the mass density, the calculation gives 7.2 g/cm3. As for the total energy: -34.972 eV for the cell shown. As for the total magnetization: 2.7 Bohr magnetons per cell. The value obtained for the formation energy from raw total energies is 0.062 eV/atom.

Geometry as CIF:
```
data_Sr2TeOs
_chemical_formula_sum 'Sr4 Te2 Os2'
_cell_length_a 7.340
_cell_length_b 7.841
_cell_length_c 3.966
_cell_angle_alpha 90.00
_cell_angle_beta 90.00
_cell_angle_gamma 90.00
_symmetry_space_group_name_H-M 'C m m m'
_symmetry_Int_Tables_number 65
_symmetry_space_group_name_Hall '-C 2 2'
loop_
_atom_site_label
_atom_site_type_symbol
_atom_site_fract_x
_atom_site_fract_y
_atom_site_fract_z
Sr1 Sr 0.250 0.250 0.000
Te1 Te 0.000 0.000 0.500
Os1 Os 0.000 0.500 0.500
```



The following is a DFT calculation (PBE-GGA) of a geometry-optimized Sr2TeOs structure.

Properties
For the mass density, the calculation gives 6.8 g/cm3. As for the total energy: -36.629 eV for the cell shown. As for the total magnetization: 0.0 Bohr magnetons per cell. The value obtained for the formation energy from raw total energies is -0.145 eV/atom.

Geometry as CIF:
```
data_Sr2TeOs
_chemical_formula_sum 'Sr4 Te2 Os2'
_cell_length_a 4.234
_cell_length_b 4.837
_cell_length_c 11.737
_cell_angle_alpha 90.00
_cell_angle_beta 90.00
_cell_angle_gamma 90.00
_symmetry_space_group_name_H-M 'A m m 2'
_symmetry_Int_Tables_number 38
_symmetry_space_group_name_Hall 'A 2 -2'
loop_
_atom_site_label
_atom_site_type_symbol
_atom_site_fract_x
_atom_site_fract_y
_atom_site_fract_z
Sr1 Sr 0.000 0.000 0.000
Sr2 Sr 0.500 0.000 0.286
Te1 Te 0.000 0.000 0.700
Os1 Os 0.500 0.000 0.567
```



The following is a DFT calculation (PBE-GGA) of a geometry-optimized SrTe2Os structure.

Properties
For the mass density, the calculation gives 8.5 g/cm3. As for the total energy: -18.925 eV for the cell shown. As for the total magnetization: 0.0 Bohr magnetons per cell. The value obtained for the formation energy from raw total energies is 0.068 eV/atom.

Geometry as CIF:
```
data_SrTe2Os
_chemical_formula_sum 'Sr1 Te2 Os1'
_cell_length_a 3.431
_cell_length_b 4.224
_cell_length_c 7.150
_cell_angle_alpha 90.00
_cell_angle_beta 90.00
_cell_angle_gamma 90.00
_symmetry_space_group_name_H-M 'P m m 2'
_symmetry_Int_Tables_number 25
_symmetry_space_group_name_Hall 'P 2 -2'
loop_
_atom_site_label
_atom_site_type_symbol
_atom_site_fract_x
_atom_site_fract_y
_atom_site_fract_z
Sr1 Sr 0.000 0.000 0.000
Te1 Te 0.000 0.000 0.554
Te2 Te 0.500 0.500 0.259
Os1 Os 0.500 0.500 0.646
```



The following is a DFT calculation (PBE-GGA) of a geometry-optimized Sr2TeOs structure.

Properties
For the mass density, the calculation gives 6.6 g/cm3. As for the total energy: -16.841 eV for the cell shown. As for the total magnetization: 0.5 Bohr magnetons per cell. The value obtained for the formation energy from raw total energies is 0.224 eV/atom.

Geometry as CIF:
```
data_Sr2TeOs
_chemical_formula_sum 'Sr2 Te1 Os1'
_cell_length_a 3.693
_cell_length_b 3.693
_cell_length_c 9.123
_cell_angle_alpha 90.00
_cell_angle_beta 90.00
_cell_angle_gamma 90.00
_symmetry_space_group_name_H-M 'P 4 m m'
_symmetry_Int_Tables_number 99
_symmetry_space_group_name_Hall 'P 4 -2'
loop_
_atom_site_label
_atom_site_type_symbol
_atom_site_fract_x
_atom_site_fract_y
_atom_site_fract_z
Sr1 Sr 0.000 0.000 0.000
Sr2 Sr 0.500 0.500 0.392
Te1 Te 0.000 0.000 0.646
Os1 Os 0.500 0.500 0.748
```



The following is a DFT calculation (PBE-GGA) of a geometry-optimized Sr2TeOs structure.

Properties
For the mass density, the calculation gives 7.0 g/cm3. As for the total energy: -69.661 eV for the cell shown. As for the total magnetization: 8.0 Bohr magnetons per cell. The value obtained for the formation energy from raw total energies is 0.080 eV/atom.

Geometry as CIF:
```
data_Sr2TeOs
_chemical_formula_sum 'Sr8 Te4 Os4'
_cell_length_a 7.778
_cell_length_b 7.778
_cell_length_c 7.778
_cell_angle_alpha 90.00
_cell_angle_beta 90.00
_cell_angle_gamma 90.00
_symmetry_space_group_name_H-M 'F m -3 m'
_symmetry_Int_Tables_number 225
_symmetry_space_group_name_Hall '-F 4 2 3'
loop_
_atom_site_label
_atom_site_type_symbol
_atom_site_fract_x
_atom_site_fract_y
_atom_site_fract_z
Sr1 Sr 0.250 0.250 0.250
Te1 Te 0.000 0.000 0.000
Os1 Os 0.000 0.000 0.500
```



The following is a DFT calculation (PBE-GGA) of a geometry-optimized SrTe2Os structure.

Properties
For the mass density, the calculation gives 8.1 g/cm3. As for the total energy: -19.359 eV for the cell shown. As for the total magnetization: 0.0 Bohr magnetons per cell. The value obtained for the formation energy from raw total energies is -0.041 eV/atom.

Geometry as CIF:
```
data_SrTe2Os
_chemical_formula_sum 'Sr1 Te2 Os1'
_cell_length_a 3.379
_cell_length_b 3.379
_cell_length_c 9.569
_cell_angle_alpha 90.00
_cell_angle_beta 90.00
_cell_angle_gamma 90.00
_symmetry_space_group_name_H-M 'P 4 m m'
_symmetry_Int_Tables_number 99
_symmetry_space_group_name_Hall 'P 4 -2'
loop_
_atom_site_label
_atom_site_type_symbol
_atom_site_fract_x
_atom_site_fract_y
_atom_site_fract_z
Sr1 Sr 0.000 0.000 0.000
Te1 Te 0.000 0.000 0.621
Te2 Te 0.500 0.500 0.256
Os1 Os 0.500 0.500 0.755
```



The following is a DFT calculation (PBE-GGA) of a geometry-optimized SrTe2Os structure.

Properties
For the mass density, the calculation gives 8.4 g/cm3. As for the total energy: -38.938 eV for the cell shown. As for the total magnetization: 0.0 Bohr magnetons per cell. The value obtained for the formation energy from raw total energies is -0.068 eV/atom.

Geometry as CIF:
```
data_SrTe2Os
_chemical_formula_sum 'Sr2 Te4 Os2'
_cell_length_a 3.699
_cell_length_b 4.090
_cell_length_c 13.959
_cell_angle_alpha 90.00
_cell_angle_beta 90.00
_cell_angle_gamma 90.00
_symmetry_space_group_name_H-M 'I m m 2'
_symmetry_Int_Tables_number 44
_symmetry_space_group_name_Hall 'I 2 -2'
loop_
_atom_site_label
_atom_site_type_symbol
_atom_site_fract_x
_atom_site_fract_y
_atom_site_fract_z
Sr1 Sr 0.000 0.000 0.000
Te1 Te 0.000 0.000 0.624
Te2 Te 0.000 0.500 0.822
Os1 Os 0.000 0.500 0.260
```



The following is a DFT calculation (PBE-GGA) of a geometry-optimized SrTeOs3 structure.

Properties
For the mass density, the calculation gives 11.1 g/cm3. As for the total energy: -30.211 eV for the cell shown. As for the total magnetization: 0.0 Bohr magnetons per cell. The value obtained for the formation energy from raw total energies is 1.660 eV/atom.

Geometry as CIF:
```
data_SrTeOs3
_chemical_formula_sum 'Sr1 Te1 Os3'
_cell_length_a 4.902
_cell_length_b 4.902
_cell_length_c 4.902
_cell_angle_alpha 90.00
_cell_angle_beta 90.00
_cell_angle_gamma 90.00
_symmetry_space_group_name_H-M 'P m -3 m'
_symmetry_Int_Tables_number 221
_symmetry_space_group_name_Hall '-P 4 2 3'
loop_
_atom_site_label
_atom_site_type_symbol
_atom_site_fract_x
_atom_site_fract_y
_atom_site_fract_z
Sr1 Sr 0.000 0.000 0.000
Te1 Te 0.500 0.500 0.500
Os1 Os 0.000 0.500 0.500
```



The following is a DFT calculation (PBE-GGA) of a geometry-optimized Sr4TeOs structure.

Properties
For the mass density, the calculation gives 5.6 g/cm3. As for the total energy: -64.610 eV for the cell shown. As for the total magnetization: 0.0 Bohr magnetons per cell. The value obtained for the formation energy from raw total energies is 0.824 eV/atom.

Geometry as CIF:
```
data_Sr4TeOs
_chemical_formula_sum 'Sr16 Te4 Os4'
_cell_length_a 9.231
_cell_length_b 9.231
_cell_length_c 9.231
_cell_angle_alpha 90.00
_cell_angle_beta 90.00
_cell_angle_gamma 90.00
_symmetry_space_group_name_H-M 'F -4 3 m'
_symmetry_Int_Tables_number 216
_symmetry_space_group_name_Hall 'F -4 2 3'
loop_
_atom_site_label
_atom_site_type_symbol
_atom_site_fract_x
_atom_site_fract_y
_atom_site_fract_z
Sr1 Sr 0.124 0.124 0.376
Te1 Te 0.000 0.000 0.000
Os1 Os 0.250 0.250 0.750
```



The following is a DFT calculation (PBE-GGA) of a geometry-optimized Sr3TeOs structure.

Properties
For the mass density, the calculation gives 5.2 g/cm3. As for the total energy: -19.813 eV for the cell shown. As for the total magnetization: 0.0 Bohr magnetons per cell. The value obtained for the formation energy from raw total energies is -0.079 eV/atom.

Geometry as CIF:
```
data_Sr3TeOs
_chemical_formula_sum 'Sr3 Te1 Os1'
_cell_length_a 5.693
_cell_length_b 5.693
_cell_length_c 5.693
_cell_angle_alpha 90.00
_cell_angle_beta 90.00
_cell_angle_gamma 90.00
_symmetry_space_group_name_H-M 'P m -3 m'
_symmetry_Int_Tables_number 221
_symmetry_space_group_name_Hall '-P 4 2 3'
loop_
_atom_site_label
_atom_site_type_symbol
_atom_site_fract_x
_atom_site_fract_y
_atom_site_fract_z
Sr1 Sr 0.000 0.000 0.500
Te1 Te 0.500 0.500 0.500
Os1 Os 0.000 0.000 0.000
```



The following is a DFT calculation (PBE-GGA) of a geometry-optimized Sr2TeOs structure.

Properties
For the mass density, the calculation gives 7.1 g/cm3. As for the total energy: -33.850 eV for the cell shown. As for the total magnetization: 3.7 Bohr magnetons per cell. The value obtained for the formation energy from raw total energies is 0.203 eV/atom.

Geometry as CIF:
```
data_Sr2TeOs
_chemical_formula_sum 'Sr4 Te2 Os2'
_cell_length_a 4.586
_cell_length_b 4.586
_cell_length_c 10.990
_cell_angle_alpha 90.00
_cell_angle_beta 90.00
_cell_angle_gamma 90.00
_symmetry_space_group_name_H-M 'I -4 m 2'
_symmetry_Int_Tables_number 119
_symmetry_space_group_name_Hall 'I -4 -2'
loop_
_atom_site_label
_atom_site_type_symbol
_atom_site_fract_x
_atom_site_fract_y
_atom_site_fract_z
Sr1 Sr 0.000 0.000 0.000
Sr2 Sr 0.000 0.500 0.250
Te1 Te 0.000 0.500 0.750
Os1 Os 0.000 0.000 0.500
```